[1]
# OsCl4

A relaxed structure of OsCl4 (PBEsol, Alexandria via LeMat-Bulk).

## Properties
Space group: No. 65
Energy: -22.1 eV per cell
Crystal system: orthorhombic

Unit cell a=5.837 b=5.837 c=3.578 alpha=90.00 beta=90.00 gamma=93.41
Fractional positions:
Os1 0.000 0.000 0.000
Cl1 0.182 0.818 0.500
Cl2 0.282 0.282 0.000
Cl3 0.718 0.718 0.000
Cl4 0.818 0.182 0.500

[2]
# Os3Cl4

A relaxed structure of Os3Cl4 (PBEsol, Alexandria via LeMat-Bulk).

## Properties
Space group: No. 191
Energy: -34.0 eV per cell
Crystal system: hexagonal

Unit cell a=5.302 b=5.302 c=4.781 alpha=90.00 beta=90.00 gamma=120.00
Fractional positions:
Os1 0.000 0.500 0.000
Os2 0.500 0.000 0.000
Os3 0.500 0.500 0.000
Cl1 0.000 0.000 0.251
Cl2 0.000 0.000 0.749
Cl3 0.333 0.667 0.500
Cl4 0.667 0.333 0.500

[3]
# Os2Cl

A relaxed structure of Os2Cl (PBEsol, Alexandria via LeMat-Bulk).

## Properties
Space group: No. 225
Energy: -20.6 eV per cell
Crystal system: cubic
Excess energy over the best structure of this formula in the dataset: 4.62 eV per formula unit

Unit cell a=3.973 b=3.973 c=3.973 alpha=60.00 beta=60.00 gamma=60.00
Fractional positions:
Os1 0.250 0.250 0.250
Os2 0.750 0.750 0.750
Cl1 0.000 0.000 0.000

[4]
# P2OsCl

A relaxed structure of P2OsCl (PBEsol, Alexandria via LeMat-Bulk).

## Properties
Space group: No. 65
Energy: -22.6 eV per cell
Crystal system: orthorhombic
Excess energy over the best structure of this formula in the dataset: 3.16 eV per formula unit

Unit cell a=4.693 b=4.693 c=2.983 alpha=90.00 beta=90.00 gamma=118.44
Fractional positions:
P1 0.000 0.500 0.000
P2 0.500 0.000 0.000
Os1 0.000 0.000 0.500
Cl1 0.500 0.500 0.500

[5]
# POsCl2

A relaxed structure of POsCl2 (PBEsol, Alexandria via LeMat-Bulk).

## Properties
Space group: No. 225
Energy: -16.8 eV per cell
Crystal system: cubic
Excess energy over the best structure of this formula in the dataset: 3.90 eV per formula unit

Unit cell a=4.379 b=4.379 c=4.379 alpha=60.00 beta=60.00 gamma=60.00
Fractional positions:
P1 0.000 0.000 0.000
Os1 0.500 0.500 0.500
Cl1 0.250 0.250 0.250
Cl2 0.750 0.750 0.750

[6]
# P2OsCl12

A relaxed structure of P2OsCl12 (PBEsol, Alexandria via LeMat-Bulk).

## Properties
Space group: No. 2
Energy: -55.3 eV per cell
Crystal system: triclinic

Unit cell a=6.287 b=6.655 c=11.116 alpha=105.06 beta=90.03 gamma=117.91
Fractional positions:
P1 0.228 0.026 0.278
P2 0.772 0.974 0.722
Os1 0.500 0.500 0.000
Cl1 0.000 0.231 0.643
Cl2 0.000 0.769 0.357
Cl3 0.075 0.242 0.304
Cl4 0.086 0.269 0.974
Cl5 0.454 0.739 0.900
Cl6 0.479 0.778 0.581
Cl7 0.488 0.733 0.188
Cl8 0.512 0.267 0.812
Cl9 0.521 0.222 0.419
Cl10 0.546 0.261 0.100
Cl11 0.914 0.731 0.026
Cl12 0.925 0.758 0.696

[7]
# POsCl2

A relaxed structure of POsCl2 (PBEsol, Alexandria via LeMat-Bulk).

## Properties
Space group: No. 35
Energy: -20.7 eV per cell
Crystal system: orthorhombic
Excess energy over the best structure of this formula in the dataset: 0.00 eV per formula unit

Unit cell a=3.203 b=3.203 c=8.680 alpha=90.00 beta=90.00 gamma=123.49
Fractional positions:
P1 0.000 0.000 0.000
Os1 0.500 0.500 0.812
Cl1 0.000 0.000 0.588
Cl2 0.500 0.500 0.225

[8]
# P2OsCl

A relaxed structure of P2OsCl (PBEsol, Alexandria via LeMat-Bulk).

## Properties
Space group: No. 65
Energy: -25.8 eV per cell
Crystal system: orthorhombic
Excess energy over the best structure of this formula in the dataset: 0.00 eV per formula unit

Unit cell a=5.133 b=5.133 c=2.936 alpha=90.00 beta=90.00 gamma=125.21
Fractional positions:
P1 0.204 0.796 0.000
P2 0.796 0.204 0.000
Os1 0.000 0.000 0.500
Cl1 0.500 0.500 0.500

[9]
# P2OsCl

A relaxed structure of P2OsCl (PBEsol, Alexandria via LeMat-Bulk).

## Properties
Space group: No. 139
Energy: -23.6 eV per cell
Crystal system: tetragonal
Excess energy over the best structure of this formula in the dataset: 2.14 eV per formula unit

Unit cell a=4.239 b=4.239 c=4.239 alpha=110.33 beta=110.33 gamma=107.77
Fractional positions:
P1 0.000 0.500 0.500
P2 0.500 0.000 0.500
Os1 0.000 0.000 0.000
Cl1 0.500 0.500 0.000

[10]
# POsCl2

A relaxed structure of POsCl2 (PBEsol, Alexandria via LeMat-Bulk).

## Properties
Space group: No. 123
Energy: -17.5 eV per cell
Crystal system: tetragonal
Excess energy over the best structure of this formula in the dataset: 3.25 eV per formula unit

Unit cell a=2.847 b=2.847 c=8.527 alpha=90.00 beta=90.00 gamma=90.00
Fractional positions:
P1 0.000 0.000 0.000
Os1 0.000 0.000 0.500
Cl1 0.500 0.500 0.311
Cl2 0.500 0.500 0.689

[11]
# P2OsPtCl

A relaxed structure of P2OsPtCl (PBEsol, Alexandria via LeMat-Bulk).

## Properties
Space group: No. 123
Energy: -28.0 eV per cell
Crystal system: tetragonal

Unit cell a=4.473 b=4.473 c=4.739 alpha=90.00 beta=90.00 gamma=90.00
Fractional positions:
P1 0.000 0.500 0.000
P2 0.500 0.000 0.000
Os1 0.000 0.000 0.000
Pt1 0.500 0.500 0.500
Cl1 0.000 0.000 0.500

[12]
# RbP2OsCl

A relaxed structure of RbP2OsCl (PBEsol, Alexandria via LeMat-Bulk).

## Properties
Space group: No. 123
Energy: -13.5 eV per cell
Crystal system: tetragonal

Unit cell a=5.277 b=5.277 c=5.294 alpha=90.00 beta=90.00 gamma=90.00
Fractional positions:
Rb1 0.000 0.000 0.000
P1 0.000 0.500 0.000
P2 0.500 0.000 0.000
Os1 0.500 0.500 0.500
Cl1 0.000 0.000 0.500